K2ZrAl after structural relaxation, computed with PBE.

Structure (CIF):
```
data_K2ZrAl
_space_group_name_H-M_alt 'R -3 m'
_space_group_IT_number 166
_space_group_name_Hall '-R 3 2"'
_cell_length_a 3.2803
_cell_length_b 3.2803
_cell_length_c 38.9806
_cell_angle_alpha 90.00
_cell_angle_beta 90.00
_cell_angle_gamma 120.00
loop_
_atom_site_label
_atom_site_type_symbol
_atom_site_fract_x
_atom_site_fract_y
_atom_site_fract_z
K1 K 0.0000 0.0000 0.2437
Zr1 Zr 0.0000 0.0000 0.0000
Al1 Al 0.0000 0.0000 0.5000
```

Summary:
* density: 2693 kg/m³
* raw total energy: -2.90 eV/atom
* calculated formation energy: 0.725 eV/atom
* spin magnetization: 0.4 μB per formula unit

---

Sc3AlAu2 after structural relaxation, computed with PBE.

Structure (CIF):
```
data_Sc3AlAu2
_space_group_name_H-M_alt 'P 4/m m m'
_space_group_IT_number 123
_space_group_name_Hall '-P 4 2'
_cell_length_a 3.398
_cell_length_b 3.398
_cell_length_c 10.227
_cell_angle_alpha 90.00
_cell_angle_beta 90.00
_cell_angle_gamma 90.00
loop_
_atom_site_label
_atom_site_type_symbol
_atom_site_fract_x
_atom_site_fract_y
_atom_site_fract_z
Sc1 Sc 0.000 0.000 0.000
Sc2 Sc 0.000 0.000 0.332
Al1 Al 0.500 0.500 0.500
Au1 Au 0.500 0.500 0.175
```

Summary:
* density: 7817 kg/m³
* raw total energy: -5.57 eV/atom
* calculated formation energy: -0.689 eV/atom
* spin magnetization: 0.0 μB per formula unit

---

CeY2Ho6Tm3 after structural relaxation, computed with PBE.

Structure (CIF):
```
data_CeY2Ho6Tm3
_space_group_name_H-M_alt 'C 1 2/m 1'
_space_group_IT_number 12
_cell_length_a 6.109
_cell_length_b 10.575
_cell_length_c 11.688
_cell_angle_alpha 90.00
_cell_angle_beta 100.03
_cell_angle_gamma 90.00
loop_
_space_group_symop_operation_xyz
'x,y,z'
'-x,-y,-z'
'-x,y,-z'
'x,-y,z'
'x+1/2,y+1/2,z'
'-x+1/2,-y+1/2,-z'
'-x+1/2,y+1/2,-z'
'x+1/2,-y+1/2,z'
loop_
_atom_site_label
_atom_site_type_symbol
_atom_site_fract_x
_atom_site_fract_y
_atom_site_fract_z
Ce1 Ce 0.000 0.000 0.000
Y1 Y 0.000 0.333 0.000
Ho1 Ho 0.246 0.000 0.748
Ho2 Ho 0.250 0.165 0.252
Tm1 Tm 0.000 0.167 0.500
Tm2 Tm 0.000 0.500 0.500
```

Summary:
* density: 8104 kg/m³
* raw total energy: -4.94 eV/atom
* calculated formation energy: 0.042 eV/atom
* spin magnetization: 1.2 μB per formula unit

---

Nd3Tl4InSe8 after structural relaxation, computed with PBE.

Structure (CIF):
```
data_Nd3Tl4InSe8
_space_group_name_H-M_alt 'R -3 m'
_space_group_IT_number 166
_space_group_name_Hall '-R 3 2"'
_cell_length_a 8.5521
_cell_length_b 8.5521
_cell_length_c 23.2679
_cell_angle_alpha 90.00
_cell_angle_beta 90.00
_cell_angle_gamma 120.00
loop_
_atom_site_label
_atom_site_type_symbol
_atom_site_fract_x
_atom_site_fract_y
_atom_site_fract_z
Nd1 Nd 0.0000 0.5000 0.0000
Tl1 Tl 0.0000 0.0000 0.5000
Tl2 Tl 0.0000 0.5000 0.5000
In1 In 0.0000 0.0000 0.0000
Se1 Se 0.0000 0.0000 0.2626
Se2 Se 0.0115 0.5057 0.7360
```

Summary:
* density: 6749 kg/m³
* raw total energy: -4.53 eV/atom
* formation energy without anion corrections: -1.13 eV/atom
* spin magnetization: 0.0 μB per formula unit

---

La4Sb3H4 after structural relaxation, computed with PBE.

Structure (CIF):
```
data_La4Sb3H4
_space_group_name_H-M_alt 'I -4 3 m'
_space_group_IT_number 217
_space_group_name_Hall 'I -4 2 3'
_cell_length_a 7.812
_cell_length_b 7.812
_cell_length_c 7.812
_cell_angle_alpha 90.00
_cell_angle_beta 90.00
_cell_angle_gamma 90.00
loop_
_atom_site_label
_atom_site_type_symbol
_atom_site_fract_x
_atom_site_fract_y
_atom_site_fract_z
La1 La 0.185 0.185 0.185
Sb1 Sb 0.000 0.000 0.500
H1 H 0.121 0.121 0.879
```

Summary:
* density: 6444 kg/m³
* raw total energy: -4.99 eV/atom
* spin magnetization: 0.0 μB per formula unit

---

NaZn2Cd after structural relaxation, computed with PBE.

Structure (CIF):
```
data_NaZn2Cd
_space_group_name_H-M_alt 'P 1 21/m 1'
_space_group_IT_number 11
_cell_length_a 4.580
_cell_length_b 7.758
_cell_length_c 5.711
_cell_angle_alpha 90.00
_cell_angle_beta 113.40
_cell_angle_gamma 90.00
loop_
_space_group_symop_operation_xyz
'x,y,z'
'-x,-y,-z'
'-x,y+1/2,-z'
'x,-y+1/2,z'
loop_
_atom_site_label
_atom_site_type_symbol
_atom_site_fract_x
_atom_site_fract_y
_atom_site_fract_z
Na1 Na 0.042 0.250 0.084
Zn1 Zn 0.265 0.585 0.532
Cd1 Cd 0.338 0.250 0.676
```

Summary:
* density: 4748 kg/m³
* raw total energy: -1.16 eV/atom
* calculated formation energy: 0.031 eV/atom
* spin magnetization: 0.0 μB per formula unit

---

CaUCd2S6 after structural relaxation, computed with PBE.

Structure (CIF):
```
data_CaUCd2S6
_space_group_name_H-M_alt 'R 3'
_space_group_IT_number 146
_space_group_name_Hall 'R 3'
_cell_length_a 6.7431
_cell_length_b 6.7431
_cell_length_c 18.6322
_cell_angle_alpha 90.00
_cell_angle_beta 90.00
_cell_angle_gamma 120.00
loop_
_atom_site_label
_atom_site_type_symbol
_atom_site_fract_x
_atom_site_fract_y
_atom_site_fract_z
Ca1 Ca 0.0000 0.0000 0.0000
U1 U 0.0000 0.0000 0.4931
Cd1 Cd 0.0000 0.0000 0.2989
Cd2 Cd 0.0000 0.0000 0.8087
S1 S 0.0057 0.7033 0.4086
S2 S 0.0074 0.3575 0.2377
```

Summary:
* density: 4721 kg/m³
* raw total energy: -5.01 eV/atom
* formation energy without anion corrections: -1.02 eV/atom
* spin magnetization: 0.0 μB per formula unit